Below is a geometry-optimized Ac4Pm3ScSe8 structure, with properties calculated at the PBE level.

Cell: 8.6557 8.6557 8.6557 Å, 59.06 59.06 59.06°
Sites, in units of the cell vectors:
Ac: 0.0000 0.0000 0.0000
Ac: 0.0000 0.5000 0.5000
Ac: 0.5000 0.0000 0.5000
Ac: 0.5000 0.5000 0.0000
Pm: 0.0000 0.0000 0.5000
Pm: 0.0000 0.5000 0.0000
Pm: 0.5000 0.0000 0.0000
Sc: 0.5000 0.5000 0.5000
Se: 0.2438 0.2438 0.2438
Se: 0.2535 0.7348 0.7348
Se: 0.2652 0.2652 0.7465
Se: 0.2652 0.7465 0.2652
Se: 0.7348 0.2535 0.7348
Se: 0.7348 0.7348 0.2535
Se: 0.7465 0.2652 0.2652
Se: 0.7562 0.7562 0.7562

Properties
Formation energy without anion corrections ... -1.791 eV per atom
Density of states at the Fermi level ... 9.42 states/eV/f.u.